No. 1
TlSe2IBr | PBE | optimized geometry

Computed properties:
ΔE_f (raw) = 0.947 eV/f.u.
excess energy over the best structure of this formula in the dataset = 0.00 eV per formula unit

Cell: 5.458 5.458 5.906 Å, 90.00 90.00 90.00°
Fractional positions:
Tl 0.000 0.000 0.000
Se 0.000 0.500 0.500
Se 0.500 0.000 0.500
I 0.500 0.500 0.500
Br 0.500 0.500 0.000

***

No. 2
CuSiNi | PBE | optimized geometry

Computed properties:
ΔE_f (raw) = -0.709 eV/f.u.

Cell: 4.298 4.220 4.348 Å, 90.00 118.98 90.00°
Fractional positions:
Cu 0.152 0.250 0.141
Cu 0.848 0.750 0.859
Si 0.470 0.250 0.797
Si 0.530 0.750 0.203
Ni 0.195 0.750 0.530
Ni 0.805 0.250 0.470

***

No. 3
Ca2TlSnPt | PBE | optimized geometry

Computed properties:
ΔE_f = -50.0 kJ/mol of atoms

Cell: 5.584 5.584 5.067 Å, 90.00 90.00 90.00°
Fractional positions:
Ca 0.000 0.500 0.000
Ca 0.500 0.000 0.000
Tl 0.000 0.000 0.500
Sn 0.500 0.500 0.500
Pt 0.500 0.500 0.000

***

Let's list density of states at the Fermi level in order: 2.6 1.2 3.7 states/eV/f.u..
Let's list uncorrected energy in order: -11.6 -32.0 -19.0 eV/cell.